P | A relaxed structure of MnCrRu, computed with PBE.

Properties
theoretical density: 7.92 g/cm3
crystal system: cubic
calculated volume: 14.5 Å³ per atom

The structure in CIF format:
```
data_MnCrRu
_symmetry_space_group_name_H-M 'F -4 3 m'
_symmetry_Int_Tables_number 216
_symmetry_space_group_name_Hall 'F -4 2 3'
_cell_length_a 5.588
_cell_length_b 5.588
_cell_length_c 5.588
_cell_angle_alpha 90.00
_cell_angle_beta 90.00
_cell_angle_gamma 90.00
loop_
_atom_site_label
_atom_site_type_symbol
_atom_site_fract_x
_atom_site_fract_y
_atom_site_fract_z
Mn1 Mn 0.000 0.000 0.000
Cr1 Cr 0.250 0.250 0.750
Ru1 Ru 0.250 0.250 0.250
```

---

Q | A relaxed structure of MnCrRu, computed with PBE.

Properties
theoretical density: 9.06 g/cm3
crystal system: orthorhombic
calculated volume: 12.7 Å³ per atom

The structure in CIF format:
```
data_MnCrRu
_symmetry_space_group_name_H-M 'F m m 2'
_symmetry_Int_Tables_number 42
_symmetry_space_group_name_Hall 'F 2 -2'
_cell_length_a 2.990
_cell_length_b 4.255
_cell_length_c 11.991
_cell_angle_alpha 90.00
_cell_angle_beta 90.00
_cell_angle_gamma 90.00
loop_
_atom_site_label
_atom_site_type_symbol
_atom_site_fract_x
_atom_site_fract_y
_atom_site_fract_z
Mn1 Mn 0.000 0.000 0.000
Cr1 Cr 0.000 0.000 0.653
Ru1 Ru 0.000 0.000 0.324
```

---

R | A relaxed structure of MnCrRu, computed with PBE.

Properties
theoretical density: 8.80 g/cm3
crystal system: orthorhombic
calculated volume: 13.1 Å³ per atom

The structure in CIF format:
```
data_MnCrRu
_symmetry_space_group_name_H-M 'P m m n'
_symmetry_Int_Tables_number 59
_cell_length_a 2.740
_cell_length_b 4.413
_cell_length_c 6.493
_cell_angle_alpha 90.00
_cell_angle_beta 90.00
_cell_angle_gamma 90.00
loop_
_symmetry_equiv_pos_as_xyz
'x,y,z'
'-x,-y,-z'
'-x+1/2,-y+1/2,z'
'x+1/2,y+1/2,-z'
'x+1/2,-y,-z'
'-x+1/2,y,z'
'-x,y+1/2,-z'
'x,-y+1/2,z'
loop_
_atom_site_label
_atom_site_type_symbol
_atom_site_fract_x
_atom_site_fract_y
_atom_site_fract_z
Mn1 Mn 0.250 0.250 0.221
Cr1 Cr 0.250 0.750 0.060
Ru1 Ru 0.250 0.750 0.434
```

---

S | A relaxed structure of MnCrRu, computed with PBE.

Properties
theoretical density: 9.11 g/cm3
crystal system: orthorhombic
calculated volume: 12.6 Å³ per atom

The structure in CIF format:
```
data_MnCrRu
_symmetry_space_group_name_H-M 'C m c m'
_symmetry_Int_Tables_number 63
_symmetry_space_group_name_Hall '-C 2c 2'
_cell_length_a 3.574
_cell_length_b 11.422
_cell_length_c 3.713
_cell_angle_alpha 90.00
_cell_angle_beta 90.00
_cell_angle_gamma 90.00
loop_
_atom_site_label
_atom_site_type_symbol
_atom_site_fract_x
_atom_site_fract_y
_atom_site_fract_z
Mn1 Mn 0.000 0.250 0.250
Cr1 Cr 0.000 0.088 0.750
Ru1 Ru 0.000 0.413 0.750
```

---

Q: What are the energies relative to the best structure? A: P 437; Q 117; R 241; S 0, in meV/atom.

---

P | A relaxed structure of MnCrS2, computed with PBE.

Properties
theoretical density: 4.74 g/cm3
crystal system: trigonal
calculated volume: 15.0 Å³ per atom

The structure in CIF format:
```
data_MnCrS2
_symmetry_space_group_name_H-M 'R -3 m'
_symmetry_Int_Tables_number 166
_symmetry_space_group_name_Hall '-R 3 2"'
_cell_length_a 3.0404
_cell_length_b 3.0404
_cell_length_c 22.4665
_cell_angle_alpha 90.00
_cell_angle_beta 90.00
_cell_angle_gamma 120.00
loop_
_atom_site_label
_atom_site_type_symbol
_atom_site_fract_x
_atom_site_fract_y
_atom_site_fract_z
Mn1 Mn 0.0000 0.0000 0.0000
Cr1 Cr 0.0000 0.0000 0.5000
S1 S 0.0000 0.0000 0.1007
```

---

Q | A relaxed structure of MnCrS2, computed with PBE.

Properties
theoretical density: 4.09 g/cm3
crystal system: tetragonal
calculated volume: 17.4 Å³ per atom

The structure in CIF format:
```
data_MnCrS2
_symmetry_space_group_name_H-M 'I -4 2 d'
_symmetry_Int_Tables_number 122
_symmetry_space_group_name_Hall 'I -4 2bw'
_cell_length_a 5.126
_cell_length_b 5.126
_cell_length_c 10.567
_cell_angle_alpha 90.00
_cell_angle_beta 90.00
_cell_angle_gamma 90.00
loop_
_atom_site_label
_atom_site_type_symbol
_atom_site_fract_x
_atom_site_fract_y
_atom_site_fract_z
Mn1 Mn 0.000 0.000 0.000
Cr1 Cr 0.000 0.000 0.500
S1 S 0.235 0.250 0.125
```

---

R | A relaxed structure of MnCrS2, computed with PBE.

Properties
theoretical density: 5.30 g/cm3
crystal system: cubic
calculated volume: 13.4 Å³ per atom

The structure in CIF format:
```
data_MnCrS2
_symmetry_space_group_name_H-M 'F m -3 m'
_symmetry_Int_Tables_number 225
_symmetry_space_group_name_Hall '-F 4 2 3'
_cell_length_a 5.985
_cell_length_b 5.985
_cell_length_c 5.985
_cell_angle_alpha 90.00
_cell_angle_beta 90.00
_cell_angle_gamma 90.00
loop_
_atom_site_label
_atom_site_type_symbol
_atom_site_fract_x
_atom_site_fract_y
_atom_site_fract_z
Mn1 Mn 0.000 0.000 0.000
Cr1 Cr 0.000 0.000 0.500
S1 S 0.250 0.250 0.250
```

---

Q: What are the energies relative to the best structure? A: P 43; Q 0; R 180, in meV/atom.

---

P | A relaxed structure of MnCr3S, computed with PBE.

Properties
theoretical density: 4.53 g/cm3
crystal system: cubic
calculated volume: 17.8 Å³ per atom

The structure in CIF format:
```
data_MnCr3S
_symmetry_space_group_name_H-M 'P m -3 m'
_symmetry_Int_Tables_number 221
_symmetry_space_group_name_Hall '-P 4 2 3'
_cell_length_a 4.467
_cell_length_b 4.467
_cell_length_c 4.467
_cell_angle_alpha 90.00
_cell_angle_beta 90.00
_cell_angle_gamma 90.00
loop_
_atom_site_label
_atom_site_type_symbol
_atom_site_fract_x
_atom_site_fract_y
_atom_site_fract_z
Mn1 Mn 0.000 0.000 0.000
Cr1 Cr 0.000 0.000 0.500
S1 S 0.500 0.500 0.500
```

---

Q | A relaxed structure of MnCr3S, computed with PBE.

Properties
theoretical density: 5.95 g/cm3
crystal system: cubic
calculated volume: 13.6 Å³ per atom

The structure in CIF format:
```
data_MnCr3S
_symmetry_space_group_name_H-M 'P m -3 m'
_symmetry_Int_Tables_number 221
_symmetry_space_group_name_Hall '-P 4 2 3'
_cell_length_a 4.078
_cell_length_b 4.078
_cell_length_c 4.078
_cell_angle_alpha 90.00
_cell_angle_beta 90.00
_cell_angle_gamma 90.00
loop_
_atom_site_label
_atom_site_type_symbol
_atom_site_fract_x
_atom_site_fract_y
_atom_site_fract_z
Mn1 Mn 0.000 0.000 0.000
Cr1 Cr 0.000 0.500 0.500
S1 S 0.500 0.500 0.500
```

---

Q: What are the energies relative to the best structure? A: P 384; Q 0, in meV/atom.

---

P | A relaxed structure of MnCrSb, computed with PBE.

Properties
theoretical density: 7.27 g/cm3
crystal system: trigonal
calculated volume: 17.4 Å³ per atom

The structure in CIF format:
```
data_MnCrSb
_symmetry_space_group_name_H-M 'P 3 m 1'
_symmetry_Int_Tables_number 156
_cell_length_a 3.1301
_cell_length_b 3.1301
_cell_length_c 6.1549
_cell_angle_alpha 90.00
_cell_angle_beta 90.00
_cell_angle_gamma 120.00
loop_
_symmetry_equiv_pos_as_xyz
'x,y,z'
'-y,x-y,z'
'-x+y,-x,z'
'-y,-x,z'
'-x+y,y,z'
'x,x-y,z'
loop_
_atom_site_label
_atom_site_type_symbol
_atom_site_fract_x
_atom_site_fract_y
_atom_site_fract_z
Mn1 Mn 0.0000 0.0000 0.0000
Cr1 Cr 0.3333 0.6667 0.7492
Sb1 Sb 0.6667 0.3333 0.3714
```

---

Q | A relaxed structure of MnCrSb, computed with PBE.

Properties
theoretical density: 7.46 g/cm3
crystal system: tetragonal
calculated volume: 17.0 Å³ per atom

The structure in CIF format:
```
data_MnCrSb
_symmetry_space_group_name_H-M 'I 4 m m'
_symmetry_Int_Tables_number 107
_symmetry_space_group_name_Hall 'I 4 -2'
_cell_length_a 3.099
_cell_length_b 3.099
_cell_length_c 10.603
_cell_angle_alpha 90.00
_cell_angle_beta 90.00
_cell_angle_gamma 90.00
loop_
_atom_site_label
_atom_site_type_symbol
_atom_site_fract_x
_atom_site_fract_y
_atom_site_fract_z
Mn1 Mn 0.000 0.000 0.000
Cr1 Cr 0.000 0.000 0.620
Sb1 Sb 0.000 0.000 0.311
```

---

Q: What are the energies relative to the best structure? A: P 75; Q 0, in meV/atom.

---

P | A relaxed structure of MnCrSb, computed with PBE.

Properties
theoretical density: 7.28 g/cm3
crystal system: triclinic
calculated volume: 17.4 Å³ per atom

The structure in CIF format:
```
data_MnCrSb
_symmetry_space_group_name_H-M 'P -1'
_symmetry_Int_Tables_number 2
_cell_length_a 3.945
_cell_length_b 3.947
_cell_length_c 7.738
_cell_angle_alpha 89.26
_cell_angle_beta 89.75
_cell_angle_gamma 60.05
loop_
_symmetry_equiv_pos_as_xyz
'x,y,z'
'-x,-y,-z'
loop_
_atom_site_label
_atom_site_type_symbol
_atom_site_fract_x
_atom_site_fract_y
_atom_site_fract_z
Mn1 Mn 0.001 0.497 0.144
Cr1 Cr 0.334 0.832 0.068
Sb1 Sb 0.331 0.843 0.687
```

---

Q | A relaxed structure of MnCrSb, computed with PBE.

Properties
theoretical density: 7.06 g/cm3
crystal system: cubic
calculated volume: 17.9 Å³ per atom

The structure in CIF format:
```
data_MnCrSb
_symmetry_space_group_name_H-M 'F -4 3 m'
_symmetry_Int_Tables_number 216
_symmetry_space_group_name_Hall 'F -4 2 3'
_cell_length_a 5.991
_cell_length_b 5.991
_cell_length_c 5.991
_cell_angle_alpha 90.00
_cell_angle_beta 90.00
_cell_angle_gamma 90.00
loop_
_atom_site_label
_atom_site_type_symbol
_atom_site_fract_x
_atom_site_fract_y
_atom_site_fract_z
Mn1 Mn 0.000 0.000 0.000
Cr1 Cr 0.250 0.250 0.750
Sb1 Sb 0.250 0.250 0.250
```

---

R | A relaxed structure of MnCrSb, computed with PBE.

Properties
theoretical density: 7.45 g/cm3
crystal system: trigonal
calculated volume: 17.0 Å³ per atom

The structure in CIF format:
```
data_MnCrSb
_symmetry_space_group_name_H-M 'P 3 m 1'
_symmetry_Int_Tables_number 156
_cell_length_a 4.3418
_cell_length_b 4.3418
_cell_length_c 3.1219
_cell_angle_alpha 90.00
_cell_angle_beta 90.00
_cell_angle_gamma 120.00
loop_
_symmetry_equiv_pos_as_xyz
'x,y,z'
'-y,x-y,z'
'-x+y,-x,z'
'-y,-x,z'
'-x+y,y,z'
'x,x-y,z'
loop_
_atom_site_label
_atom_site_type_symbol
_atom_site_fract_x
_atom_site_fract_y
_atom_site_fract_z
Mn1 Mn 0.0000 0.0000 0.0000
Cr1 Cr 0.6667 0.3333 0.6780
Sb1 Sb 0.3333 0.6667 0.3097
```

---

S | A relaxed structure of MnCrSb, computed with PBE.

Properties
theoretical density: 8.18 g/cm3
crystal system: tetragonal
calculated volume: 15.5 Å³ per atom

The structure in CIF format:
```
data_MnCrSb
_symmetry_space_group_name_H-M 'I 4 m m'
_symmetry_Int_Tables_number 107
_symmetry_space_group_name_Hall 'I 4 -2'
_cell_length_a 3.357
_cell_length_b 3.357
_cell_length_c 8.235
_cell_angle_alpha 90.00
_cell_angle_beta 90.00
_cell_angle_gamma 90.00
loop_
_atom_site_label
_atom_site_type_symbol
_atom_site_fract_x
_atom_site_fract_y
_atom_site_fract_z
Mn1 Mn 0.000 0.000 0.000
Cr1 Cr 0.000 0.000 0.657
Sb1 Sb 0.000 0.000 0.326
```

---

Q: What are the energies relative to the best structure? A: P 52; Q 0; R 232; S 273, in meV/atom.

---

P | A relaxed structure of MnCrSb3, computed with PBE.

Properties
theoretical density: 6.01 g/cm3
crystal system: cubic
calculated volume: 26.1 Å³ per atom

The structure in CIF format:
```
data_MnCrSb3
_symmetry_space_group_name_H-M 'P m -3 m'
_symmetry_Int_Tables_number 221
_symmetry_space_group_name_Hall '-P 4 2 3'
_cell_length_a 5.073
_cell_length_b 5.073
_cell_length_c 5.073
_cell_angle_alpha 90.00
_cell_angle_beta 90.00
_cell_angle_gamma 90.00
loop_
_atom_site_label
_atom_site_type_symbol
_atom_site_fract_x
_atom_site_fract_y
_atom_site_fract_z
Mn1 Mn 0.000 0.000 0.000
Cr1 Cr 0.500 0.500 0.500
Sb1 Sb 0.000 0.500 0.500
```

---

Q | A relaxed structure of MnCrSb3, computed with PBE.

Properties
theoretical density: 6.02 g/cm3
crystal system: cubic
calculated volume: 26.0 Å³ per atom

The structure in CIF format:
```
data_MnCrSb3
_symmetry_space_group_name_H-M 'P m -3 m'
_symmetry_Int_Tables_number 221
_symmetry_space_group_name_Hall '-P 4 2 3'
_cell_length_a 5.069
_cell_length_b 5.069
_cell_length_c 5.069
_cell_angle_alpha 90.00
_cell_angle_beta 90.00
_cell_angle_gamma 90.00
loop_
_atom_site_label
_atom_site_type_symbol
_atom_site_fract_x
_atom_site_fract_y
_atom_site_fract_z
Mn1 Mn 0.000 0.000 0.000
Cr1 Cr 0.500 0.500 0.500
Sb1 Sb 0.000 0.000 0.500
```

---

Q: What are the energies relative to the best structure? A: P 50; Q 0, in meV/atom.